# Cs2RbBr2

A geometry-optimized Cs2RbBr2 structure (PBE, Alexandria via LeMat-Bulk).

As for the uncorrected formation energy: -1.246 eV per atom. The value obtained for the theoretical density is 2.5 g/cm³. As for the symmetry: I4/mmm. The value obtained for the energy above the most stable polymorph in this dataset is 117 meV per atom. Its crystal system is tetragonal.

The structure in POSCAR format:
```
Cs2RbBr2
1.0
-3.328 3.328 7.785
3.328 -3.328 7.785
3.328 3.328 -7.785
Cs Rb Br
2 1 2
Direct
0.174 0.174 0.000
0.826 0.826 0.000
0.500 0.500 0.000
0.250 0.750 0.500
0.750 0.250 0.500
```

# Ca2BiB2

A geometry-optimized Ca2BiB2 structure (PBE, Alexandria via LeMat-Bulk).

The value obtained for the formation energy is 82.41 kJ per mole of atoms. The value obtained for the theoretical density is 4.8 g/cm³. As for the symmetry: P4/mbm. The value obtained for the energy above the most stable polymorph in this dataset is 335 meV per atom. Its crystal system is tetragonal.

The structure in POSCAR format:
```
Ca2BiB2
1.0
8.071 0.000 0.000
0.000 8.071 0.000
0.000 0.000 3.299
Ca Bi B
4 2 4
Direct
0.139 0.361 0.000
0.361 0.861 0.000
0.639 0.139 0.000
0.861 0.639 0.000
0.000 0.000 0.000
0.500 0.500 0.000
0.165 0.665 0.500
0.335 0.165 0.500
0.665 0.835 0.500
0.835 0.335 0.500
```

# CsLiP2N

A geometry-optimized CsLiP2N structure (PBE, Alexandria via LeMat-Bulk).

As for the uncorrected formation energy: 0.679 eV per atom. The value obtained for the theoretical density is 3.8 g/cm³. As for the symmetry: P4/mmm. Its crystal system is tetragonal.

The structure in POSCAR format:
```
CsLiP2N
1.0
4.372 0.000 0.000
0.000 4.372 0.000
0.000 0.000 4.913
Cs Li P N
1 1 2 1
Direct
0.000 0.000 0.000
0.500 0.500 0.000
0.000 0.500 0.500
0.500 0.000 0.500
0.500 0.500 0.500
```

# LiHo2ThIn4

A geometry-optimized LiHo2ThIn4 structure (PBE, Alexandria via LeMat-Bulk).

The value obtained for the formation energy is -33.78 kJ per mole of atoms. The value obtained for the theoretical density is 8.2 g/cm³. As for the symmetry: R-3m. Its crystal system is trigonal.

The structure in POSCAR format:
```
LiHo2ThIn4
1.0
2.611 1.507 8.861
-2.611 1.507 8.861
0.000 -3.015 8.861
Li Ho Th In
1 2 1 4
Direct
0.000 0.000 0.000
0.253 0.253 0.253
0.747 0.747 0.747
0.500 0.500 0.500
0.119 0.119 0.119
0.371 0.371 0.371
0.629 0.629 0.629
0.881 0.881 0.881
```

# LiLa2YS4

A geometry-optimized LiLa2YS4 structure (PBE, Alexandria via LeMat-Bulk).

As for the uncorrected formation energy: -1.968 eV per atom. The value obtained for the theoretical density is 4.5 g/cm³. As for the symmetry: P2/m. Its crystal system is monoclinic.

The structure in POSCAR format:
```
LiLa2YS4
1.0
6.923 0.000 0.000
0.000 4.042 0.000
-2.350 0.000 6.584
Li La Y S
1 2 1 4
Direct
0.000 0.000 0.000
0.500 0.000 0.500
0.500 0.500 0.000
0.000 0.500 0.500
0.230 0.000 0.747
0.232 0.500 0.244
0.768 0.500 0.756
0.770 0.000 0.253
```

# BeCdP2Cl

A geometry-optimized BeCdP2Cl structure (PBE, Alexandria via LeMat-Bulk).

As for the uncorrected formation energy: 1.279 eV per atom. The value obtained for the theoretical density is 2.8 g/cm³. As for the symmetry: P4/mmm. The value obtained for the energy above the most stable polymorph in this dataset is 935 meV per atom. Its crystal system is tetragonal.

The structure in POSCAR format:
```
BeCdP2Cl
1.0
4.998 0.000 0.000
0.000 4.998 0.000
0.000 0.000 5.191
Be Cd P Cl
1 1 2 1
Direct
0.000 0.000 0.000
0.500 0.500 0.500
0.000 0.500 0.500
0.500 0.000 0.500
0.500 0.500 0.000
```

# CaAl2ZnFe

A geometry-optimized CaAl2ZnFe structure (PBE, Alexandria via LeMat-Bulk).

The value obtained for the formation energy is -16.80 kJ per mole of atoms. The value obtained for the theoretical density is 3.7 g/cm³. As for the symmetry: P4/mmm. Its crystal system is tetragonal.

The structure in POSCAR format:
```
CaAl2ZnFe
1.0
4.522 0.000 0.000
0.000 4.522 0.000
0.000 0.000 4.721
Ca Al Zn Fe
1 2 1 1
Direct
0.000 0.000 0.000
0.000 0.500 0.500
0.500 0.000 0.500
0.500 0.500 0.000
0.500 0.500 0.500
```

# MgAu2

A geometry-optimized MgAu2 structure (PBE, Alexandria via LeMat-Bulk).

The value obtained for the formation energy is -45.71 kJ per mole of atoms. The value obtained for the theoretical density is 12.9 g/cm³. As for the symmetry: Cmcm. Its crystal system is orthorhombic.

The structure in POSCAR format:
```
MgAu2
1.0
4.473 -2.480 0.000
4.473 2.480 0.000
0.000 0.000 4.867
Mg Au
2 4
Direct
0.213 0.787 0.750
0.787 0.213 0.250
0.130 0.548 0.250
0.452 0.870 0.250
0.548 0.130 0.750
0.870 0.452 0.750
```

# TiMnInFe

A geometry-optimized TiMnInFe structure (PBE, Alexandria via LeMat-Bulk).

The value obtained for the formation energy is -2.65 kJ per mole of atoms. The value obtained for the theoretical density is 7.4 g/cm³. As for the symmetry: F-43m. Its crystal system is cubic.

The structure in POSCAR format:
```
TiMnInFe
1.0
0.000 3.125 3.125
3.125 0.000 3.125
3.125 3.125 0.000
Ti Mn In Fe
1 1 1 1
Direct
0.000 0.000 0.000
0.250 0.250 0.250
0.500 0.500 0.500
0.750 0.750 0.750
```

# ZrInAgPd

A geometry-optimized ZrInAgPd structure (PBE, Alexandria via LeMat-Bulk).

The value obtained for the formation energy is -40.81 kJ per mole of atoms. The value obtained for the theoretical density is 9.2 g/cm³. As for the symmetry: F-43m. Its crystal system is cubic.

The structure in POSCAR format:
```
ZrInAgPd
1.0
0.000 3.357 3.357
3.357 0.000 3.357
3.357 3.357 0.000
Zr In Ag Pd
1 1 1 1
Direct
0.000 0.000 0.000
0.500 0.500 0.500
0.750 0.750 0.750
0.250 0.250 0.250
```

# PuSnS2O

A geometry-optimized PuSnS2O structure (PBE, Alexandria via LeMat-Bulk).

As for the uncorrected formation energy: -1.537 eV per atom. The value obtained for the theoretical density is 7.2 g/cm³. As for the symmetry: P4/nmm. Its crystal system is tetragonal.

The structure in POSCAR format:
```
PuSnS2O
1.0
3.862 0.000 0.000
0.000 3.862 0.000
0.000 0.000 13.665
Pu Sn S O
2 2 4 2
Direct
0.250 0.250 0.093
0.750 0.750 0.907
0.250 0.250 0.624
0.750 0.750 0.376
0.250 0.250 0.390
0.250 0.250 0.815
0.750 0.750 0.185
0.750 0.750 0.610
0.250 0.750 0.000
0.750 0.250 0.000
```

# NdTmPuO6

A geometry-optimized NdTmPuO6 structure (PBE, Alexandria via LeMat-Bulk).

As for the uncorrected formation energy: -3.066 eV per atom. The value obtained for the theoretical density is 7.8 g/cm³. As for the symmetry: P-31c. Its crystal system is trigonal.

The structure in POSCAR format:
```
NdTmPuO6
1.0
5.717 0.000 0.000
-2.859 4.951 0.000
0.000 0.000 9.827
Nd Tm Pu O
2 2 2 12
Direct
0.000 0.000 0.000
0.000 0.000 0.500
0.333 0.667 0.250
0.667 0.333 0.750
0.333 0.667 0.750
0.667 0.333 0.250
0.021 0.363 0.638
0.021 0.658 0.862
0.342 0.363 0.862
0.342 0.979 0.638
0.363 0.021 0.138
0.363 0.342 0.362
0.637 0.658 0.638
0.637 0.979 0.862
0.658 0.021 0.362
0.658 0.637 0.138
0.979 0.342 0.138
0.979 0.637 0.362
```